# PBE Nd2ZnCu16, relaxed
data_Nd2ZnCu16
_symmetry_space_group_name_H-M 'P 1'
_symmetry_Int_Tables_number 1
_cell_length_a 6.533
_cell_length_b 6.533
_cell_length_c 6.533
_cell_angle_alpha 82.83
_cell_angle_beta 82.83
_cell_angle_gamma 82.83
loop_
_symmetry_equiv_pos_as_xyz
'x,y,z'
loop_
_atom_site_label
_atom_site_type_symbol
_atom_site_fract_x
_atom_site_fract_y
_atom_site_fract_z
Nd1 Nd 0.000 0.000 0.000
Nd2 Nd 0.310 0.310 0.310
Zn1 Zn 0.561 0.561 0.561
Cu1 Cu 0.003 0.003 0.507
Cu2 Cu 0.003 0.507 0.003
Cu3 Cu 0.159 0.660 0.660
Cu4 Cu 0.314 0.314 0.812
Cu5 Cu 0.314 0.812 0.314
Cu6 Cu 0.366 0.659 0.954
Cu7 Cu 0.366 0.954 0.659
Cu8 Cu 0.507 0.003 0.003
Cu9 Cu 0.659 0.366 0.954
Cu10 Cu 0.659 0.954 0.366
Cu11 Cu 0.660 0.159 0.660
Cu12 Cu 0.660 0.660 0.159
Cu13 Cu 0.757 0.757 0.757
Cu14 Cu 0.812 0.314 0.314
Cu15 Cu 0.954 0.366 0.659
Cu16 Cu 0.954 0.659 0.366
# space-group type = R3m, No. 160
# size of the total moment = 0.00 Bohr magnetons per cell

# PBE Pm6Nd8In, relaxed
data_Pm6Nd8In
_symmetry_space_group_name_H-M 'P 1'
_symmetry_Int_Tables_number 1
_cell_length_a 9.465
_cell_length_b 9.465
_cell_length_c 6.674
_cell_angle_alpha 90.00
_cell_angle_beta 90.00
_cell_angle_gamma 120.00
loop_
_symmetry_equiv_pos_as_xyz
'x,y,z'
loop_
_atom_site_label
_atom_site_type_symbol
_atom_site_fract_x
_atom_site_fract_y
_atom_site_fract_z
Pm1 Pm 0.093 0.444 0.334
Pm2 Pm 0.351 0.907 0.334
Pm3 Pm 0.444 0.351 0.666
Pm4 Pm 0.556 0.649 0.334
Pm5 Pm 0.649 0.093 0.666
Pm6 Pm 0.907 0.556 0.666
Nd1 Nd 0.040 0.269 0.821
Nd2 Nd 0.229 0.960 0.821
Nd3 Nd 0.269 0.229 0.179
Nd4 Nd 0.333 0.667 0.866
Nd5 Nd 0.667 0.333 0.134
Nd6 Nd 0.731 0.771 0.821
Nd7 Nd 0.771 0.040 0.179
Nd8 Nd 0.960 0.731 0.179
In1 In 0.000 0.000 0.500
# space-group type = P-3, No. 147
# size of the total moment = 0.00 Bohr magnetons per cell

# PBE Sc6InPd2, relaxed
data_Sc6InPd2
_symmetry_space_group_name_H-M 'P 1'
_symmetry_Int_Tables_number 1
_cell_length_a 8.013
_cell_length_b 8.013
_cell_length_c 8.013
_cell_angle_alpha 111.86
_cell_angle_beta 111.21
_cell_angle_gamma 105.42
loop_
_symmetry_equiv_pos_as_xyz
'x,y,z'
loop_
_atom_site_label
_atom_site_type_symbol
_atom_site_fract_x
_atom_site_fract_y
_atom_site_fract_z
Sc1 Sc 0.034 0.239 0.795
Sc2 Sc 0.187 0.289 0.476
Sc3 Sc 0.187 0.711 0.899
Sc4 Sc 0.326 0.035 0.710
Sc5 Sc 0.326 0.616 0.290
Sc6 Sc 0.444 0.239 0.205
Sc7 Sc 0.556 0.761 0.795
Sc8 Sc 0.674 0.384 0.710
Sc9 Sc 0.674 0.965 0.290
Sc10 Sc 0.813 0.289 0.101
Sc11 Sc 0.813 0.711 0.524
Sc12 Sc 0.966 0.761 0.205
In1 In 0.000 0.000 0.000
In2 In 0.500 0.500 0.000
Pd1 Pd 0.139 0.639 0.500
Pd2 Pd 0.344 0.000 0.344
Pd3 Pd 0.656 0.000 0.656
Pd4 Pd 0.861 0.361 0.500
# space-group type = Immm, No. 71
# size of the total moment = 0.00 Bohr magnetons per cell

# PBE Dy3Er2Pd3, relaxed
data_Dy3Er2Pd3
_symmetry_space_group_name_H-M 'P 1'
_symmetry_Int_Tables_number 1
_cell_length_a 3.532
_cell_length_b 5.151
_cell_length_c 20.969
_cell_angle_alpha 90.00
_cell_angle_beta 90.00
_cell_angle_gamma 90.00
loop_
_symmetry_equiv_pos_as_xyz
'x,y,z'
loop_
_atom_site_label
_atom_site_type_symbol
_atom_site_fract_x
_atom_site_fract_y
_atom_site_fract_z
Dy1 Dy 0.000 0.000 0.000
Dy2 Dy 0.000 0.500 0.116
Dy3 Dy 0.000 0.500 0.884
Dy4 Dy 0.500 0.000 0.384
Dy5 Dy 0.500 0.000 0.616
Dy6 Dy 0.500 0.500 0.500
Er1 Er 0.000 0.000 0.226
Er2 Er 0.000 0.000 0.774
Er3 Er 0.500 0.500 0.274
Er4 Er 0.500 0.500 0.726
Pd1 Pd 0.000 0.000 0.500
Pd2 Pd 0.000 0.500 0.384
Pd3 Pd 0.000 0.500 0.616
Pd4 Pd 0.500 0.000 0.116
Pd5 Pd 0.500 0.000 0.884
Pd6 Pd 0.500 0.500 0.000
# space-group type = Immm, No. 71
# size of the total moment = 0.00 Bohr magnetons per cell

Result set for ΔE_f: -0.117 0.058 -0.526 -0.643 eV per atom, one per record in the order listed.